Record 1
Material: La2FeRu
Method: DFT, PBE
State: relaxed

It has space group P4/mmm (No. 123), with a = 5.065 Å, b = 5.065 Å, c = 3.548 Å, α = 90.00°, β = 90.00° and γ = 90.00°. The distinct sites, in fractional coordinates, are La at (0.000, 0.500, 0.000), Fe at (0.000, 0.000, 0.500) and Ru at (0.500, 0.500, 0.500).

For the total energy, the calculation gives -6.767 eV per atom. The total magnetization is 2.07 Bohr magnetons per cell. For the density of states at the Fermi level, the calculation gives 1.60 states/eV per atom.

Record 2
Material: RhWAu2
Method: DFT, PBE
State: relaxed

It has space group Immm (No. 71), with a = 2.849 Å, b = 4.746 Å, c = 9.840 Å, α = 90.00°, β = 90.00° and γ = 90.00°. The distinct sites, in fractional coordinates, are Rh at (0.000, 0.000, 0.000), W at (0.000, 0.000, 0.500) and Au at (0.000, 0.500, 0.247).

For the total energy, the calculation gives -6.339 eV per atom. The total magnetization is 0.00 Bohr magnetons per cell. The energy above the most stable polymorph in this dataset comes out at 328 meV/atom. For the density of states at the Fermi level, the calculation gives 0.72 states/eV per atom.

Record 3
Material: Sm2Zn3Pd
Method: DFT, PBE
State: relaxed

It has space group Pmm2 (No. 25), with a = 3.666 Å, b = 4.487 Å, c = 7.774 Å, α = 90.00°, β = 90.00° and γ = 90.00°. The distinct sites, in fractional coordinates, are Sm at (0.000, 0.000, 0.000), Sm at (0.000, 0.500, 0.470), Zn at (0.500, 0.000, 0.659), Zn at (0.500, 0.500, 0.143), Zn at (0.500, 0.500, 0.814) and Pd at (0.500, 0.000, 0.320).

For the total energy, the calculation gives -3.589 eV per atom. The total magnetization is 0.00 Bohr magnetons per cell. For the density of states at the Fermi level, the calculation gives 0.77 states/eV per atom.

Record 4
Material: PuAlFe
Method: DFT, PBE
State: relaxed

It has space group Amm2 (No. 38), with a = 8.497 Å, b = 5.450 Å, c = 8.946 Å, α = 90.00°, β = 90.00° and γ = 90.00°. The distinct sites, in fractional coordinates, are Pu at (0.171, 0.000, 0.000), Pu at (0.292, 0.000, 0.675), Al at (0.244, 0.000, 0.331), Al at (0.500, 0.244, 0.932), Fe at (0.000, 0.000, 0.495), Fe at (0.000, 0.246, 0.243) and Fe at (0.500, 0.000, 0.179).

For the total energy, the calculation gives -9.016 eV per atom. The total magnetization is 34.12 Bohr magnetons per cell. For the density of states at the Fermi level, the calculation gives 2.54 states/eV per atom.

Look up the total magnetization of the first one.
2.07 Bohr magnetons per cell